Version w
DFT (PBE-GGA) results for GdThAu after structural relaxation.

Output
Total magnetic moment: 2.5030 μB per atom

abc: 6.725 6.725 6.725
angles: 148.42 148.42 45.27
Atoms (fractional coordinates):
Gd: 0.000 0.000 0.000
Th: 0.299 0.299 0.000
Au: 0.643 0.643 0.000

=====

Version x
DFT (PBE-GGA) results for GdThAu after structural relaxation.

Output
Total magnetic moment: 2.4136 μB per atom

abc: 5.012 5.012 3.712
angles: 90.00 90.00 120.00
Atoms (fractional coordinates):
Gd: 0.000 0.000 0.000
Th: 0.333 0.667 0.591
Au: 0.667 0.333 0.297

=====

Version y
DFT (PBE-GGA) results for GdThAu after structural relaxation.

Output
Total magnetic moment: 2.6608 μB per atom

abc: 5.072 5.072 5.072
angles: 60.00 60.00 60.00
Atoms (fractional coordinates):
Gd: 0.000 0.000 0.000
Th: 0.500 0.500 0.500
Au: 0.750 0.750 0.750

=====

Which is less stable than every other structure shown? version x is.